The following is a DFT calculation (PBE+U) of Li4MnCo3O8 after structural relaxation.

Cell and atoms, written as POSCAR:
```
Li4MnCo3O8
1.0
2.922 0.000 0.000
0.219 5.056 0.000
1.160 0.882 9.724
Li Mn Co O
4 1 3 8
direct
0.129 0.383 0.248
0.353 0.120 0.758
0.647 0.880 0.242
0.871 0.617 0.752
0.000 0.000 0.500
0.250 0.750 0.999
0.500 0.500 0.500
0.750 0.250 0.001
0.030 0.679 0.394
0.186 0.071 0.118
0.316 0.427 0.883
0.418 0.801 0.613
0.582 0.199 0.387
0.684 0.573 0.117
0.814 0.929 0.882
0.970 0.321 0.606
```

As for the uncorrected energy: -93.7 eV for the cell shown.